DFT (PBE) results for a relaxed structure of ErTh2Au.

Output
* N(E_F): 5.06 states/eV/f.u.
* electronic total energy: -21.72 eV per cell
* formation enthalpy at 0 K: 0.2399 eV per atom
* V: 30.49 A^3/atom
* space group: R-3m (166)
* energy above the most stable polymorph in this dataset: 0.468 eV per atom

Cell: 3.4631 3.4631 11.9123 Å, 81.64 81.64 60.00°
Last column: nearest neighbours and their distance in Å.
Positions (direct):
1 Au 0.0000 0.0000 0.0000  2 Th 2.94
2 Th 0.0836 0.0836 0.7493  1 Au 2.94
3 Th 0.9164 0.9164 0.2507  1 Au 2.94
4 Er 0.5000 0.5000 0.5000  6 Er 3.46, 6 Th 3.54

---

DFT (PBE) results for a relaxed structure of ErThAu2.

Output
* N(E_F): 4.37 states/eV/f.u.
* electronic total energy: -21.31 eV per cell
* formation enthalpy at 0 K: -0.6936 eV per atom
* V: 24.49 A^3/atom
* space group: Fm-3m (225)
* energy above the most stable polymorph in this dataset: 0.032 eV per atom

Cell: 5.1743 5.1743 5.1743 Å, 60.00 60.00 60.00°
Last column: nearest neighbours and their distance in Å.
Positions (direct):
1 Au 0.2500 0.2500 0.2500  4 Th 3.17, 4 Er 3.17
2 Au 0.7500 0.7500 0.7500  4 Th 3.17, 4 Er 3.17
3 Th 0.0000 0.0000 0.0000  8 Au 3.17
4 Er 0.5000 0.5000 0.5000  8 Au 3.17

---

DFT (PBE) results for a relaxed structure of ErThAu2.

Output
* N(E_F): 3.25 states/eV/f.u.
* electronic total energy: -21.44 eV per cell
* formation enthalpy at 0 K: -0.7251 eV per atom
* V: 24.03 A^3/atom
* space group: P4/mmm (123)
* energy above the most stable polymorph in this dataset: 0.000 eV per atom

Cell: 3.5374 3.5374 7.6822 Å, 90.00 90.00 90.00°
Last column: nearest neighbours and their distance in Å.
Positions (direct):
1 Au 0.0000 0.0000 0.7751  4 Er 3.04, 4 Th 3.27
2 Au 0.0000 0.0000 0.2249  4 Er 3.04, 4 Th 3.27
3 Th 0.5000 0.5000 0.5000  8 Au 3.27, 4 Th 3.54
4 Er 0.5000 0.5000 0.0000  8 Au 3.04

---

DFT (PBE) results for a relaxed structure of Er3ThAu4.

Output
* N(E_F): 5.05 states/eV/f.u.
* electronic total energy: -40.51 eV per cell
* formation enthalpy at 0 K: -0.7863 eV per atom
* V: 23.64 A^3/atom
* space group: R-3m (166)

Cell: 5.0684 5.0684 8.9922 Å, 73.63 73.63 60.00°
Last column: nearest neighbours and their distance in Å.
Positions (direct):
1 Au 0.8727 0.8727 0.3820  7 Er 3.06-3.11, 1 Th 3.25
2 Au 0.3809 0.3809 0.8574  4 Er 3.04-3.09, 3 Th 3.17
3 Au 0.1273 0.1273 0.6180  7 Er 3.06-3.11, 1 Th 3.25
4 Au 0.6191 0.6191 0.1426  4 Er 3.04-3.09, 3 Th 3.17
5 Th 0.0000 0.0000 0.0000  8 Au 3.17-3.25
6 Er 0.2472 0.2472 0.2583  8 Au 3.06-3.41
7 Er 0.7528 0.7528 0.7417  8 Au 3.06-3.41
8 Er 0.5000 0.5000 0.5000  8 Au 3.04-3.09

---

DFT (PBE) results for a relaxed structure of ErTh2Au.

Output
* N(E_F): 4.36 states/eV/f.u.
* electronic total energy: -23.59 eV per cell
* formation enthalpy at 0 K: -0.2279 eV per atom
* V: 29.15 A^3/atom
* space group: P4/mmm (123)
* energy above the most stable polymorph in this dataset: 0.000 eV per atom

Cell: 3.6131 3.6131 8.9327 Å, 90.00 90.00 90.00°
Last column: nearest neighbours and their distance in Å.
Positions (direct):
1 Au 0.5000 0.5000 0.0000  8 Th 3.22
2 Th 0.0000 0.0000 0.7812  4 Au 3.22, 4 Er 3.58
3 Th 0.0000 0.0000 0.2188  4 Au 3.22, 4 Er 3.58
4 Er 0.5000 0.5000 0.5000  8 Th 3.58, 4 Er 3.61

---

DFT (PBE) results for a relaxed structure of ErThAu.

Output
* N(E_F): 4.83 states/eV/f.u.
* electronic total energy: -16.62 eV per cell
* formation enthalpy at 0 K: -0.4533 eV per atom
* V: 26.90 A^3/atom
* space group: I4mm (107)
* energy above the most stable polymorph in this dataset: 0.000 eV per atom

Cell: 3.5762 3.5762 6.7971 Å, 105.25 105.25 90.00°
Last column: nearest neighbours and their distance in Å.
Positions (direct):
1 Au 0.6788 0.6788 0.3576  4 Er 3.03, 4 Th 3.31
2 Th 0.0099 0.0099 0.0198  4 Au 3.31, 4 Er 3.56, 4 Th 3.58
3 Er 0.3113 0.3113 0.6226  4 Au 3.03

---

DFT (PBE) results for a relaxed structure of ErTh2Au3.

Output
* N(E_F): 5.51 states/eV/f.u.
* electronic total energy: -66.41 eV per cell
* formation enthalpy at 0 K: -0.6616 eV per atom
* V: 24.68 A^3/atom
* space group: Pmmn (59)

Cell: 3.5505 5.1506 16.1954 Å, 90.00 90.00 90.00°
Last column: nearest neighbours and their distance in Å.
Positions (direct):
1 Er 0.9963 0.5000 0.5000  8 Au 3.03-3.13
2 Er 0.0037 0.0000 0.0000  8 Au 3.03-3.13
3 Th 0.9943 0.0000 0.6707  8 Au 3.14-3.40
4 Th 0.9943 0.0000 0.3293  8 Au 3.14-3.40
5 Th 0.0057 0.5000 0.1707  8 Au 3.14-3.40
6 Th 0.0057 0.5000 0.8293  8 Au 3.14-3.40
7 Au 0.4954 0.5000 0.6520  2 Er 3.03-3.04, 6 Th 3.14-3.40
8 Au 0.4972 0.0000 0.5000  4 Er 3.13, 4 Th 3.28-3.29
9 Au 0.4954 0.5000 0.3480  2 Er 3.03-3.04, 6 Th 3.14-3.40
10 Au 0.5046 0.0000 0.1520  2 Er 3.03-3.04, 6 Th 3.14-3.40
11 Au 0.5028 0.5000 0.0000  4 Er 3.13, 4 Th 3.28-3.29
12 Au 0.5046 0.0000 0.8480  2 Er 3.03-3.04, 6 Th 3.14-3.40

---

DFT (PBE) results for a relaxed structure of Er2ThAu.

Output
* N(E_F): 5.17 states/eV/f.u.
* electronic total energy: -21.52 eV per cell
* formation enthalpy at 0 K: -0.4236 eV per atom
* V: 26.77 A^3/atom
* space group: P4/mmm (123)
* energy above the most stable polymorph in this dataset: 0.000 eV per atom

Cell: 3.5982 3.5982 8.2708 Å, 90.00 90.00 90.00°
Last column: nearest neighbours and their distance in Å.
Positions (direct):
1 Au 0.5000 0.5000 0.0000  8 Er 3.08
2 Th 0.5000 0.5000 0.5000  8 Er 3.50, 4 Th 3.60
3 Er 0.0000 0.0000 0.7911  4 Au 3.08
4 Er 0.0000 0.0000 0.2089  4 Au 3.08